# Th2TaNi3Ge4 | Alexandria via LeMat-Bulk | PBE | optimized geometry
data_Th2TaNi3Ge4
_chemical_formula_sum 'Th2 Ta1 Ni3 Ge4'
_cell_length_a 4.1572
_cell_length_b 4.1572
_cell_length_c 10.3702
_cell_angle_alpha 90.00
_cell_angle_beta 90.00
_cell_angle_gamma 90.00
_space_group_name_H-M_alt 'P 1'
_space_group_IT_number 1
_space_group_name_Hall 'P 1'
loop_
_atom_site_label
_atom_site_fract_x
_atom_site_fract_y
_atom_site_fract_z
_atom_site_occupancy
Th1 0.0000 0.5000 0.2343 1
Th2 0.5000 0.0000 0.7657 1
Ta1 0.0000 0.0000 0.5000 1
Ni1 0.0000 0.5000 0.8821 1
Ni2 0.5000 0.0000 0.1179 1
Ni3 0.5000 0.5000 0.5000 1
Ge1 0.0000 0.0000 0.0000 1
Ge2 0.0000 0.5000 0.6501 1
Ge3 0.5000 0.0000 0.3499 1
Ge4 0.5000 0.5000 0.0000 1
# Calculated volume: 179 Å³/cell
# Energy of formation from the pure elements: -0.61 eV per atom